1.
First-principles (GGA-PBE) data for a relaxed structure of SnTeN2F, as listed in Alexandria via LeMat-Bulk.

Calculated values
**DOS at the Fermi energy**: 3.04 states/eV/cell
**Formation energy from raw total energies**: 1.0929 eV/atom
**Energy above the most stable polymorph in this dataset**: 635.3 meV per atom
**Energy**: -4.04 eV/atom

```
data_SnTeN2F
_symmetry_space_group_name_H-M 'P 1'
_symmetry_Int_Tables_number 1
_cell_length_a 4.0516
_cell_length_b 4.0516
_cell_length_c 6.2515
_cell_angle_alpha 90.00
_cell_angle_beta 90.00
_cell_angle_gamma 90.00
loop_
_symmetry_equiv_pos_as_xyz
'x,y,z'
loop_
_atom_site_label
_atom_site_fract_x
_atom_site_fract_y
_atom_site_fract_z
N1 0.0000 0.5000 0.0000
N2 0.5000 0.0000 0.0000
Te1 0.0000 0.0000 0.5000
Sn1 0.0000 0.0000 0.0000
F1 0.5000 0.5000 0.5000
```



2.
First-principles (GGA-PBE) data for a relaxed structure of Ho8As4PSe3, as listed in Alexandria via LeMat-Bulk.

Calculated values
**DOS at the Fermi energy**: 4.43 states/eV/cell
**Formation energy from raw total energies**: -1.6786 eV/atom
**Energy**: -6.12 eV/atom

```
data_Ho8As4PSe3
_symmetry_space_group_name_H-M 'P 1'
_symmetry_Int_Tables_number 1
_cell_length_a 8.1488
_cell_length_b 8.1406
_cell_length_c 8.1494
_cell_angle_alpha 120.03
_cell_angle_beta 120.00
_cell_angle_gamma 90.00
loop_
_symmetry_equiv_pos_as_xyz
'x,y,z'
loop_
_atom_site_label
_atom_site_fract_x
_atom_site_fract_y
_atom_site_fract_z
Ho1 0.2469 0.7536 0.0067
Ho2 0.2470 0.7537 0.4940
Ho3 0.2462 0.2385 0.4923
Ho4 0.7598 0.7536 0.0067
Ho5 0.2402 0.2464 0.9933
Ho6 0.7538 0.7615 0.5077
Ho7 0.7530 0.2463 0.5060
Ho8 0.7531 0.2464 0.9933
As1 0.5000 0.0000 0.0000
As2 0.5000 0.0000 0.5000
As3 0.0000 0.0000 0.0000
As4 0.0000 0.0000 0.5000
P1 0.0000 0.5000 0.0000
Se1 0.5000 0.5000 0.0000
Se2 0.5000 0.5000 0.5000
Se3 0.0000 0.5000 0.5000
```



3.
First-principles (GGA-PBE) data for a relaxed structure of NaNiGe2, as listed in Alexandria via LeMat-Bulk.

Calculated values
**DOS at the Fermi energy**: 1.33 states/eV/cell
**Energy above the most stable polymorph in this dataset**: 0.0 meV per atom
**Energy of formation**: -0.1725 eV/atom
**Energy**: -4.26 eV/atom

```
data_NaNiGe2
_symmetry_space_group_name_H-M 'P 1'
_symmetry_Int_Tables_number 1
_cell_length_a 3.9982
_cell_length_b 3.9982
_cell_length_c 6.1224
_cell_angle_alpha 70.94
_cell_angle_beta 70.94
_cell_angle_gamma 60.00
loop_
_symmetry_equiv_pos_as_xyz
'x,y,z'
loop_
_atom_site_label
_atom_site_fract_x
_atom_site_fract_y
_atom_site_fract_z
Na1 0.4955 0.4955 0.5136
Ni1 0.6723 0.6723 0.9832
Ge1 0.0448 0.0448 0.8657
Ge2 0.2875 0.2875 0.1375
```



4.
First-principles (GGA-PBE) data for a relaxed structure of KNaN2F, as listed in Alexandria via LeMat-Bulk.

Calculated values
**DOS at the Fermi energy**: 1.78 states/eV/cell
**Formation energy from raw total energies**: 0.8444 eV/atom
**Energy above the most stable polymorph in this dataset**: 293.6 meV per atom
**Energy**: -3.34 eV/atom

```
data_KNaN2F
_symmetry_space_group_name_H-M 'P 1'
_symmetry_Int_Tables_number 1
_cell_length_a 5.2326
_cell_length_b 5.2326
_cell_length_c 4.8253
_cell_angle_alpha 90.00
_cell_angle_beta 90.00
_cell_angle_gamma 90.00
loop_
_symmetry_equiv_pos_as_xyz
'x,y,z'
loop_
_atom_site_label
_atom_site_fract_x
_atom_site_fract_y
_atom_site_fract_z
Na1 0.5000 0.5000 0.5000
K1 0.0000 0.0000 0.0000
N1 0.0000 0.5000 0.0000
N2 0.5000 0.0000 0.0000
F1 0.0000 0.0000 0.5000
```



5.
First-principles (GGA-PBE) data for a relaxed structure of OsBr4F2, as listed in Alexandria via LeMat-Bulk.

Calculated values
**DOS at the Fermi energy**: 2.29 states/eV/cell
**Formation energy from raw total energies**: -0.2752 eV/atom
**Energy**: -3.37 eV/atom

```
data_OsBr4F2
_symmetry_space_group_name_H-M 'P 1'
_symmetry_Int_Tables_number 1
_cell_length_a 4.1194
_cell_length_b 6.7122
_cell_length_c 7.1920
_cell_angle_alpha 80.84
_cell_angle_beta 106.64
_cell_angle_gamma 90.00
loop_
_symmetry_equiv_pos_as_xyz
'x,y,z'
loop_
_atom_site_label
_atom_site_fract_x
_atom_site_fract_y
_atom_site_fract_z
Os1 0.0000 0.0000 0.0000
Br1 0.1379 0.7230 0.2759
Br2 0.8621 0.2770 0.7241
Br3 0.4255 0.8419 0.8510
Br4 0.5745 0.1581 0.1490
F1 0.3391 0.3201 0.6781
F2 0.6609 0.6799 0.3219
```



6.
First-principles (GGA-PBE) data for a relaxed structure of Pr8Ir3RhI4, as listed in Alexandria via LeMat-Bulk.

Calculated values
**DOS at the Fermi energy**: 4.40 states/eV/cell
**Formation energy from raw total energies**: -0.9514 eV/atom
**Energy**: -5.85 eV/atom

```
data_Pr8Ir3RhI4
_symmetry_space_group_name_H-M 'P 1'
_symmetry_Int_Tables_number 1
_cell_length_a 8.4811
_cell_length_b 9.5387
_cell_length_c 8.4795
_cell_angle_alpha 116.38
_cell_angle_beta 120.01
_cell_angle_gamma 90.00
loop_
_symmetry_equiv_pos_as_xyz
'x,y,z'
loop_
_atom_site_label
_atom_site_fract_x
_atom_site_fract_y
_atom_site_fract_z
Pr1 0.2288 0.6844 0.9556
Pr2 0.2288 0.6844 0.4576
Pr3 0.2719 0.3157 0.5438
Pr4 0.7268 0.6844 0.9556
Pr5 0.2732 0.3156 0.0444
Pr6 0.7281 0.6843 0.4562
Pr7 0.7712 0.3156 0.5424
Pr8 0.7712 0.3156 0.0444
Ir1 0.5000 0.5000 0.0000
Ir2 0.5000 0.5000 0.5000
Ir3 0.0000 0.5000 0.5000
Rh1 0.0000 0.5000 0.0000
I1 0.5000 0.0000 0.0000
I2 0.5000 0.0000 0.5000
I3 0.0000 0.0000 0.0000
I4 0.0000 0.0000 0.5000
```